## AcPb2F8 (PBE-GGA)

Data for a relaxed AcPb2F8 crystal.

a = 15.9497 Å, b = 4.3272 Å, c = 4.9475 Å
α = 90.00°, β = 104.12°, γ = 90.00°
Space group C2/m (No. 12)
One atom of each set of equivalent atoms:
Ac 0.0000 0.0000 0.0000
Pb 0.1788 0.5000 0.6854
F 0.0608 0.5000 0.2296
F 0.0804 0.0000 0.5871
F 0.1686 0.0000 0.0834
F 0.2504 0.0000 0.6655

Properties
E_form (uncorrected): -30.6 eV/f.u.
Final energy: -5.19 eV/atom